The following is a SCAN calculation of a crystal of AlAg2W relaxed with PBEsol, from Alexandria.

Cell: 2.7425 2.7425 8.3587 Å, 90.00 90.00 90.00°
Sites, in units of the cell vectors:
1 Ag 0.5000 0.5000 0.2616
2 Ag 0.0000 0.0000 0.9957
3 Al 0.0000 0.0000 0.5035
4 W 0.5000 0.5000 0.7391

Values from the calculation:
E_form	0.151	eV/atom
total magnetic moment	0.0000	μB per atom

***

The following is a SCAN calculation of a crystal of AlAg2W relaxed with PBEsol, from Alexandria.

Cell: 2.7058 4.8680 5.1308 Å, 109.58 90.00 90.00°
Sites, in units of the cell vectors:
1 Al 0.5000 0.0000 0.5000
2 Ag 0.5000 0.5000 0.0000
3 Ag 0.0000 0.0000 0.0000
4 W 0.0000 0.5000 0.5000

Values from the calculation:
E_form	0.319	eV/atom
total magnetic moment	0.0000	μB per atom